# 1
Entry from Alexandria: an optimized crystal structure of LiYAlCo (GGA-PBE).

Cell lengths 4.536, 4.536, 4.536 Å; angles 60.00, 60.00, 60.00 degrees
Element x y z (fractional)
Li 0.750 0.750 0.750
Co 0.250 0.250 0.250
Al 0.500 0.500 0.500
Y 0.000 0.000 0.000


# 2
Entry from Alexandria: an optimized crystal structure of LuAlCo4 (GGA-PBE).

Cell lengths 4.847, 4.847, 4.847 Å; angles 60.00, 60.00, 60.00 degrees
Site moments in Bohr magnetons follow the coordinates.
Element x y z (fractional)
Co 0.122 0.626 0.626  1.14
Co 0.626 0.626 0.626  1.14
Co 0.626 0.122 0.626  1.14
Co 0.626 0.626 0.122  1.14
Al 0.000 0.000 0.000  -0.01
Lu 0.250 0.250 0.250  -0.26


# 3
Entry from Alexandria: an optimized crystal structure of LuAlCo2 (GGA-PBE).

Cell lengths 3.079, 3.079, 6.097 Å; angles 90.00, 90.00, 90.00 degrees
Site moments in Bohr magnetons follow the coordinates.
Element x y z (fractional)
Co 0.000 0.000 0.785  -0.18
Co 0.000 0.000 0.215  -0.18
Lu 0.500 0.500 0.500  0.06
Al 0.500 0.500 0.000  0.01


# 4
Entry from Alexandria: an optimized crystal structure of LuAlCo2 (GGA-PBE).

Cell lengths 3.178, 4.252, 4.252 Å; angles 90.00, 90.00, 90.00 degrees
Element x y z (fractional)
Co 0.000 0.500 0.000
Co 0.000 0.000 0.500
Lu 0.500 0.000 0.000
Al 0.500 0.500 0.500


# 5
Entry from Alexandria: an optimized crystal structure of Lu2Al3Co (GGA-PBE).

Cell lengths 5.419, 5.419, 8.485 Å; angles 90.00, 90.00, 120.00 degrees
Element x y z (fractional)
Al 0.163 0.326 0.750
Al 0.674 0.837 0.750
Al 0.837 0.674 0.250
Al 0.837 0.163 0.250
Al 0.326 0.163 0.250
Al 0.163 0.837 0.750
Lu 0.333 0.667 0.055
Lu 0.333 0.667 0.445
Lu 0.667 0.333 0.945
Lu 0.667 0.333 0.555
Co 0.000 0.000 0.000
Co 0.000 0.000 0.500


# 6
Entry from Alexandria: an optimized crystal structure of LuMnAlCo (GGA-PBE).

Cell lengths 4.467, 4.467, 4.467 Å; angles 60.00, 60.00, 60.00 degrees
Site moments in Bohr magnetons follow the coordinates.
Element x y z (fractional)
Lu 0.750 0.750 0.750  0.11
Co 0.500 0.500 0.500  -0.81
Al 0.250 0.250 0.250  0.04
Mn 0.000 0.000 0.000  -3.33


# 7
Entry from Alexandria: an optimized crystal structure of PmLuAlCo (GGA-PBE).

Cell lengths 4.974, 4.974, 4.974 Å; angles 60.00, 60.00, 60.00 degrees
Site moments in Bohr magnetons follow the coordinates.
Element x y z (fractional)
Lu 0.750 0.750 0.750  0.10
Al 0.500 0.500 0.500  -0.03
Pm 0.250 0.250 0.250  0.07
Co 0.000 0.000 0.000  -1.24


# 8
Entry from Alexandria: an optimized crystal structure of LuAlCoPt (GGA-PBE).

Cell lengths 4.501, 4.501, 4.501 Å; angles 60.00, 60.00, 60.00 degrees
Site moments in Bohr magnetons follow the coordinates.
Element x y z (fractional)
Al 0.250 0.250 0.250  0.00
Pt 0.000 0.000 0.000  0.11
Co 0.500 0.500 0.500  1.00
Lu 0.750 0.750 0.750  -0.09


# 9
Entry from Alexandria: an optimized crystal structure of LuAlCoRu (GGA-PBE).

Cell lengths 4.416, 4.416, 4.416 Å; angles 60.00, 60.00, 60.00 degrees
Element x y z (fractional)
Ru 0.750 0.750 0.750
Lu 0.500 0.500 0.500
Co 0.250 0.250 0.250
Al 0.000 0.000 0.000


# 10
Entry from Alexandria: an optimized crystal structure of LuScAlCo (GGA-PBE).

Cell lengths 4.731, 4.731, 4.731 Å; angles 60.00, 60.00, 60.00 degrees
Site moments in Bohr magnetons follow the coordinates.
Element x y z (fractional)
Co 0.250 0.250 0.250  0.75
Al 0.750 0.750 0.750  0.01
Sc 0.000 0.000 0.000  -0.11
Lu 0.500 0.500 0.500  -0.09


# 11
Entry from Alexandria: an optimized crystal structure of SmLuAlCo (GGA-PBE).

Cell lengths 4.959, 4.959, 4.959 Å; angles 60.00, 60.00, 60.00 degrees
Site moments in Bohr magnetons follow the coordinates.
Element x y z (fractional)
Al 0.750 0.750 0.750  0.03
Lu 0.000 0.000 0.000  -0.10
Co 0.250 0.250 0.250  1.23
Sm 0.500 0.500 0.500  -0.07


# 12
Entry from Alexandria: an optimized crystal structure of TbLuAlCo (GGA-PBE).

Cell lengths 4.910, 4.910, 4.910 Å; angles 60.00, 60.00, 60.00 degrees
Site moments in Bohr magnetons follow the coordinates.
Element x y z (fractional)
Al 0.250 0.250 0.250  0.03
Co 0.750 0.750 0.750  1.16
Lu 0.500 0.500 0.500  -0.10
Tb 0.000 0.000 0.000  -0.09


# 13
Entry from Alexandria: an optimized crystal structure of LuAlZnCo (GGA-PBE).

Cell lengths 4.484, 4.484, 4.484 Å; angles 60.00, 60.00, 60.00 degrees
Element x y z (fractional)
Al 0.250 0.250 0.250
Co 0.500 0.500 0.500
Zn 0.000 0.000 0.000
Lu 0.750 0.750 0.750


# 14
Entry from Alexandria: an optimized crystal structure of Mg6AlCo (GGA-PBE).

Cell lengths 6.039, 6.039, 4.876 Å; angles 90.00, 90.00, 120.25 degrees
Site moments in Bohr magnetons follow the coordinates.
Element x y z (fractional)
Mg 0.172 0.346 0.000  -0.01
Mg 0.332 0.167 0.500  -0.01
Mg 0.654 0.828 0.000  -0.01
Mg 0.833 0.668 0.500  -0.01
Mg 0.176 0.824 0.000  -0.01
Mg 0.670 0.330 0.000  0.00
Co 0.332 0.668 0.500  1.02
Al 0.831 0.169 0.500  0.00

Properties
Excess energy over the best structure of this formula in the dataset, meV per atom: 16


Total moment: 0.00; 4.15; 0.26; 0.00; 0.00; 3.99; 1.04; 0.96; 0.00; 0.47; 1.04; 0.97; 0.01; 0.83 (μB/f.u.)
ΔE_f: -0.204; -0.280; -0.342; -0.332; -0.507; -0.174; -0.169; -0.736; -0.429; -0.291; -0.181; -0.221; -0.272; 0.097 (eV per atom)
E_tot: -5.0105; -6.3947; -5.9607; -5.9512; -5.0693; -6.3083; -5.1994; -6.0890; -6.5904; -5.7163; -5.2030; -5.2210; -4.4332; -2.4551 (eV/atom)